La2MgMnSe5 | PBE-GGA | optimized geometry

The calculation puts the formation energy from raw total energies at -1.496 eV per atom. The magnetic moment comes out at 0.56 μB per atom. Its raw total energy is -206.01 eV/cell.

The structure belongs to space group Cmc2_1 (No. 36); the cell edges are 4.186, 17.561 and 12.181 Å and the angles 90.00°, 90.00° and 90.00°. Symmetry generates all atoms from La at (0.000, 0.114, 0.000), La at (0.000, 0.130, 0.617), Mg at (0.000, 0.205, 0.327), Mn at (0.000, 0.438, 0.768), Se at (0.000, 0.049, 0.375), Se at (0.000, 0.288, 0.977), Se at (0.000, 0.309, 0.668), Se at (0.000, 0.356, 0.313) and Se at (0.000, 0.498, 0.087).

Cu2ReI8 | PBE-GGA | optimized geometry

The calculation puts the formation energy from raw total energies at -0.005 eV per atom. The magnetic moment comes out at 0.27 μB per atom. Its raw total energy is -66.19 eV/cell.

The structure belongs to space group C2/m (No. 12); the cell edges are 11.417, 12.399 and 6.585 Å and the angles 90.00°, 98.81° and 90.00°. Symmetry generates all atoms from Cu at (0.209, 0.000, 0.452), Re at (0.000, 0.000, 0.000), I at (0.088, 0.160, 0.267), I at (0.089, 0.500, 0.682) and I at (0.215, 0.000, 0.848).

RbTl3Hg3 | PBE-GGA | optimized geometry

Its energy relative to the elements is -0.083 eV per atom. The magnetic moment comes out at 0.00 μB per atom. Its raw total energy is -19.10 eV/cell. Its energy above the most stable polymorph in this dataset is 0.0 kJ/mol of formula units.

The structure belongs to space group P6_3/m (No. 176); the cell edges are 9.8712, 9.8712 and 5.7195 Å and the angles 90.00°, 90.00° and 120.00°. Symmetry generates all atoms from Rb at (0.3333, 0.6667, 0.2500), Tl at (0.1182, 0.2376, 0.7500) and Hg at (0.0781, 0.5395, 0.7500).

ReBi2Ir | PBE-GGA | optimized geometry

Its energy relative to the elements is 0.895 eV per atom. The magnetic moment comes out at 0.00 μB per atom. Its raw total energy is -101.96 eV/cell. Its energy above the most stable polymorph in this dataset is 0.0 kJ/mol of formula units.

The structure belongs to space group Fm-3m (No. 225); the cell edges are 6.866, 6.866 and 6.866 Å and the angles 90.00°, 90.00° and 90.00°. Symmetry generates all atoms from Re at (0.000, 0.000, 0.000), Bi at (0.250, 0.250, 0.250) and Ir at (0.000, 0.000, 0.500).

Pu2ScGa3Au4 | PBE-GGA | optimized geometry

Its energy relative to the elements is -0.453 eV per atom. The magnetic moment comes out at 1.18 μB per atom. Its raw total energy is -61.72 eV/cell.

The structure belongs to space group P-4m2 (No. 115); the cell edges are 4.304, 4.304 and 11.506 Å and the angles 90.00°, 90.00° and 90.00°. Symmetry generates all atoms from Pu at (0.000, 0.500, 0.233), Sc at (0.000, 0.000, 0.500), Ga at (0.000, 0.500, 0.869), Ga at (0.500, 0.500, 0.500), Au at (0.000, 0.000, 0.000), Au at (0.000, 0.500, 0.649) and Au at (0.500, 0.500, 0.000).

Dy6Ag5Ge | PBE-GGA | optimized geometry

Its energy relative to the elements is -0.396 eV per atom. The magnetic moment comes out at 0.00 μB per atom. Its raw total energy is -102.47 eV/cell.

The structure belongs to space group Cmmm (No. 65); the cell edges are 5.115, 15.441 and 7.227 Å and the angles 90.00°, 90.00° and 90.00°. Symmetry generates all atoms from Dy at (0.000, 0.000, 0.244), Dy at (0.000, 0.336, 0.250), Ag at (0.000, 0.168, 0.500), Ag at (0.000, 0.174, 0.000), Ag at (0.000, 0.500, 0.500) and Ge at (0.000, 0.500, 0.000).

TeRu | PBE-GGA | optimized geometry

The calculation puts the formation energy from raw total energies at 0.360 eV per atom. The magnetic moment comes out at 0.38 μB per atom. Its raw total energy is -11.70 eV/cell.

The structure belongs to space group P4/mmm (No. 123); the cell edges are 3.318, 3.318 and 3.334 Å and the angles 90.00°, 90.00° and 90.00°. Symmetry generates all atoms from Te at (0.000, 0.000, 0.000) and Ru at (0.500, 0.500, 0.500).

Ba2Zn4Ge3Au | PBE-GGA | optimized geometry

Its energy relative to the elements is -0.399 eV per atom. The magnetic moment comes out at 0.00 μB per atom. Its raw total energy is -30.06 eV/cell.

The structure belongs to space group P-4m2 (No. 115); the cell edges are 4.579, 4.579 and 10.711 Å and the angles 90.00°, 90.00° and 90.00°. Symmetry generates all atoms from Ba at (0.000, 0.500, 0.248), Zn at (0.000, 0.000, 0.000), Zn at (0.000, 0.500, 0.627), Zn at (0.500, 0.500, 0.000), Ge at (0.000, 0.500, 0.870), Ge at (0.500, 0.500, 0.500) and Au at (0.000, 0.000, 0.500).